La2P2S, optimized geometry, DFT GGA-PBE; symmetry = P4/mbm, No. 127; E_tot = -6.450 eV/atom; volume = 25.27 Å³ per atom
1.0
7.803 0.000 0.000
0.000 7.803 0.000
0.000 0.000 4.151
La P S
4 4 2
Cartesian
1.453 2.449 0.000
2.449 6.350 0.000
5.355 1.453 0.000
6.350 5.355 0.000
0.779 4.680 2.075
3.123 0.779 2.075
4.680 7.024 2.075
7.024 3.123 2.075
0.000 0.000 0.000
3.902 3.902 0.000